Compound: LiTe2SI
Source: Alexandria
Functional: PBE
Structure: relaxed

It has space group P4/mmm (No. 123), with a = 5.179 Å, b = 5.179 Å, c = 4.962 Å, α = 90.00°, β = 90.00° and γ = 90.00°. The asymmetric unit holds Li at (0.000, 0.000, 0.000), Te at (0.000, 0.500, 0.000), S at (0.500, 0.500, 0.500) and I at (0.000, 0.000, 0.500).

The calculation puts the energy at -11.525 eV for the cell shown. The formation energy from raw total energies comes out at 2.35 eV/f.u. As for the energy above the most stable polymorph in this dataset: 333 meV/atom.